[1]
# Co3Ni5

Co3Ni5 after structural relaxation (PBE, Alexandria via LeMat-Bulk).

CIF file:
```
data_Co3Ni5
_chemical_formula_sum 'Co3 Ni5'
_space_group_name_H-M_alt 'P 1'
_space_group_IT_number 1
_space_group_name_Hall 'P 1'
_cell_length_a 2.476
_cell_length_b 4.045
_cell_length_c 8.687
_cell_angle_alpha 90.00
_cell_angle_beta 90.00
_cell_angle_gamma 90.00
loop_
_atom_site_label
_atom_site_type_symbol
_atom_site_fract_x
_atom_site_fract_y
_atom_site_fract_z
Co1 Co 0.500 0.000 0.706
Co2 Co 0.000 0.500 0.792
Ni1 Ni 0.000 0.000 0.956
Ni2 Ni 0.000 0.500 0.294
Ni3 Ni 0.000 0.000 0.458
Ni4 Ni 0.500 0.500 0.042
Co3 Co 0.500 0.500 0.544
Ni5 Ni 0.500 0.000 0.207
```

Properties
space-group type: Pmm2


[2]
# CoNi2

CoNi2 after structural relaxation (PBE, Alexandria via LeMat-Bulk).

CIF file:
```
data_CoNi2
_chemical_formula_sum 'Co4 Ni8'
_space_group_name_H-M_alt 'P 1'
_space_group_IT_number 1
_space_group_name_Hall 'P 1'
_cell_length_a 2.423
_cell_length_b 3.717
_cell_length_c 16.055
_cell_angle_alpha 90.00
_cell_angle_beta 90.00
_cell_angle_gamma 90.00
loop_
_atom_site_label
_atom_site_type_symbol
_atom_site_fract_x
_atom_site_fract_y
_atom_site_fract_z
Ni1 Ni 0.500 0.750 0.541
Ni2 Ni 0.000 0.250 0.187
Co1 Co 0.000 0.250 0.609
Ni3 Ni 0.500 0.750 0.687
Ni4 Ni 0.000 0.750 0.813
Co2 Co 0.000 0.750 0.391
Co3 Co 0.500 0.750 0.109
Co4 Co 0.500 0.250 0.891
Ni5 Ni 0.000 0.250 0.041
Ni6 Ni 0.500 0.250 0.459
Ni7 Ni 0.000 0.750 0.959
Ni8 Ni 0.500 0.250 0.313
```

Properties
space-group type: Imma


| no. | calculated volume (Å³ per atom) | total magnetic moment (μB per cell) | DFT formation energy (eV per atom) |
| --- | --- | --- | --- |
| 1 | 10.878 | 8.025 | 0.00 |
| 2 | 12.051 | 12.055 | 0.27 |